The following is a PBE calculation of an optimized crystal structure of Tb2PrDyEr, from Alexandria.

Properties
* total magnetic moment: 0.0 μB per formula unit
* volume: 34.94 A^3/atom
* uncorrected energy: -4.2571 eV per atom
* energy relative to the elements: 0.384 eV/atom

Cell: 7.207 8.416 7.135 Å, 126.14 90.00 90.00°
Atoms (fractional coordinates):
Tb (0.500, 0.310, 0.000)
Tb (0.000, 0.690, 0.000)
Tb (0.500, 0.690, 0.000)
Tb (0.000, 0.310, 0.000)
Pr (0.250, 0.728, 0.455)
Pr (0.750, 0.272, 0.545)
Dy (0.250, 0.997, 0.994)
Dy (0.750, 0.003, 0.006)
Er (0.750, 0.725, 0.449)
Er (0.250, 0.275, 0.551)